Record 1
Entry from Alexandria: CeDyIr after structural relaxation (PBE-GGA).

a = 6.130 Å, b = 4.076 Å, c = 4.076 Å
α = 120.00°, β = 90.00°, γ = 90.00°
Fractional coordinates of all 3 atoms:
1 Ce 0.241 0.333 0.667
2 Ir 0.003 0.000 0.000
3 Dy 0.757 0.667 0.333

Calculated values
distance to the lowest polymorph of the same formula	49	meV/atom

Record 2
Entry from Alexandria: NdInGaNi after structural relaxation (PBE-GGA).

a = 4.855 Å, b = 4.855 Å, c = 4.855 Å
α = 60.00°, β = 60.00°, γ = 60.00°
Fractional coordinates of all 4 atoms:
1 Nd 0.000 0.000 0.000
2 Ga 0.250 0.250 0.250
3 Ni 0.750 0.750 0.750
4 In 0.500 0.500 0.500

Calculated values
E_tot	-4.3946	eV per atom

We obtain V values of 29.41; 20.23 Å³/atom for the records listed above, in that order.
We obtain size of the total moment values of 1.1; 0.0 Bohr magnetons per cell for the records listed above, in that order.